DFT (PBE) results for a geometry-optimized CeNd4Hg2 structure.

abc: 5.5387 5.5387 26.8275
angles: 90.00 90.00 120.00
Space group R-3m (No. 166, hexagonal axes)
One atom of each set of equivalent atoms:
Ce 0.0000 0.0000 0.0000
Nd 0.0000 0.0000 0.2318
Nd 0.0000 0.0000 0.3670
Hg 0.0000 0.0000 0.1143

Properties
Energy (eV/atom): -3.647
Formation energy (eV/atom): 0.01